Run i
This record from Alexandria describes a relaxed structure of PtPbCl2. The functional is PBE.

Cell: 4.9379 4.9379 4.9379 Å, 60.00 60.00 60.00°
Element x y z (fractional)
Pt 0.0000 0.0000 0.0000
Pb 0.2500 0.2500 0.2500
Cl 0.5000 0.5000 0.5000
Cl 0.7500 0.7500 0.7500

Space-group type = F-43m

---

Run ii
This record from Alexandria describes a relaxed structure of PtPbCl2. The functional is PBE.

Cell: 7.5516 7.5516 4.1470 Å, 105.81 105.81 26.86°
Element x y z (fractional)
Pt 0.0000 0.0000 0.0000
Pb 0.6612 0.6612 0.1593
Cl 0.2552 0.2552 0.7524
Cl 0.4906 0.4906 0.4905

Space-group type = Cm

---

Pick the most stable structure from those above. Pick: run ii